Entry 1:
Compound: Ba6GaAg3
Source: the Alexandria database
Functional: PBE
Structure: relaxed

As for the total magnetization: 0.0 μB/f.u. The value obtained for the formation energy is -0.189 eV/atom. The value obtained for the volume is 43.46 A^3/atom.

The structure belongs to space group P2_1/m (No. 11); the cell edges are 12.907, 4.737 and 15.249 Å and the angles 90.00°, 111.20° and 90.00°. Symmetry generates all atoms from Ba at (0.021, 0.250, 0.389), Ba at (0.063, 0.250, 0.904), Ba at (0.259, 0.750, 0.318), Ba at (0.342, 0.750, 0.796), Ba at (0.343, 0.750, 0.100), Ba at (0.396, 0.250, 0.572), Ga at (0.431, 0.250, 0.285), Ag at (0.158, 0.250, 0.149), Ag at (0.193, 0.750, 0.533) and Ag at (0.430, 0.250, 0.975).

Entry 2:
Compound: Ba2GaAg3
Source: the Alexandria database
Functional: PBE
Structure: relaxed

As for the total magnetization: 0.0 μB/f.u. The value obtained for the formation energy is -0.284 eV/atom. The value obtained for the volume is 30.36 A^3/atom.

The structure belongs to space group Fmmm (No. 69); the cell edges are 9.075, 9.645 and 16.652 Å and the angles 90.00°, 90.00° and 90.00°. Symmetry generates all atoms from Ba at (0.245, 0.000, 0.000), Ba at (0.250, 0.250, 0.250), Ga at (0.000, 0.000, 0.334), Ag at (0.000, 0.000, 0.171) and Ag at (0.000, 0.241, 0.414).

Entry 3:
Compound: Ba3Ga4Ag4
Source: the Alexandria database
Functional: PBE
Structure: relaxed

As for the total magnetization: 0.0 μB/f.u. The value obtained for the formation energy is -0.294 eV/atom. The value obtained for the volume is 27.48 A^3/atom.

The structure belongs to space group P-1 (No. 2); the cell edges are 4.649, 4.746 and 14.096 Å and the angles 99.61°, 99.47° and 90.24°. Symmetry generates all atoms from Ba at (0.000, 0.000, 0.000), Ba at (0.152, 0.652, 0.303), Ga at (0.251, 0.248, 0.500), Ga at (0.399, 0.899, 0.800), Ag at (0.301, 0.800, 0.603) and Ag at (0.448, 0.446, 0.894).

Entry 4:
Compound: BaGa12Ag6
Source: the Alexandria database
Functional: PBE
Structure: relaxed

As for the total magnetization: 0.0 μB/f.u. The value obtained for the formation energy is -0.071 eV/atom. The value obtained for the volume is 20.21 A^3/atom.

The structure belongs to space group R-3m (No. 166, hexagonal axes); the cell edges are 11.7644, 11.7644 and 9.6104 Å and the angles 90.00°, 90.00° and 120.00°. Symmetry generates all atoms from Ba at (0.0000, 0.0000, 0.0000), Ga at (0.0000, 0.3935, 0.5000), Ga at (0.0815, 0.1629, 0.3081) and Ag at (0.0488, 0.5244, 0.2275).

Entry 5:
Compound: BaGa2Ag
Source: the Alexandria database
Functional: PBE
Structure: relaxed

As for the total magnetization: 0.0 μB/f.u. The value obtained for the formation energy is -0.316 eV/atom. The value obtained for the volume is 26.72 A^3/atom.

The structure belongs to space group R-3m (No. 166, hexagonal axes); the cell edges are 4.5310, 4.5310 and 18.0373 Å and the angles 90.00°, 90.00° and 120.00°. Symmetry generates all atoms from Ba at (0.0000, 0.0000, 0.0000), Ga at (0.0000, 0.0000, 0.2059) and Ag at (0.0000, 0.0000, 0.5000).

Entry 6:
Compound: Ba4GaAg3
Source: the Alexandria database
Functional: PBE
Structure: relaxed

As for the total magnetization: 0.0 μB/f.u. The value obtained for the formation energy is -0.278 eV/atom. The value obtained for the volume is 36.85 A^3/atom.

The structure belongs to space group Pmm2 (No. 25); the cell edges are 4.766, 4.966 and 12.455 Å and the angles 90.00°, 90.00° and 90.00°. Symmetry generates all atoms from Ba at (0.000, 0.000, 0.000), Ba at (0.000, 0.500, 0.277), Ba at (0.500, 0.000, 0.495), Ba at (0.500, 0.500, 0.777), Ga at (0.500, 0.000, 0.200), Ag at (0.000, 0.000, 0.704), Ag at (0.000, 0.500, 0.573) and Ag at (0.500, 0.500, 0.081).